This record from Alexandria via LeMat-Bulk describes MnPdS2O8 after structural relaxation. The functional is GGA+U.

Properties
Final energy ... -72.8 eV per cell

abc: 4.798 4.798 7.683
angles: 71.81 71.81 60.00
Each line ends with the local moment (μB).
Element x y z (fractional)
Mn: 0.000 0.000 0.000  4.72
O: 0.052 0.780 0.706  0.07
O: 0.948 0.539 0.294  0.07
O: 0.461 0.052 0.706  0.07
O: 0.326 0.326 0.021  0.04
O: 0.220 0.948 0.294  0.07
O: 0.539 0.220 0.294  0.07
O: 0.780 0.461 0.706  0.07
O: 0.674 0.674 0.979  0.04
Pd: 0.500 0.500 0.500  1.34
S: 0.257 0.257 0.229  0.00
S: 0.743 0.743 0.771  0.00